Record 1
CoRu2Br (PBE-GGA, relaxed); E_form (uncorrected) = 2.80 eV/f.u.; excess energy over the best structure of this formula in the dataset = 0.153 eV/atom; energy = -6.134 eV/atom; crystal system = monoclinic; space group = Cm (8); magnetic moment = 2.04 μB per cell; calculated volume = 77 Å³/cell
1.0
-2.582 1.340 3.151
-3.895 -0.712 1.650
2.182 -4.568 4.333
Br Co Ru
1 1 2
Cartesian
-1.116 -2.123 3.876
-1.691 -0.533 2.205
1.845 -4.501 4.537
-3.297 -3.320 7.417

Record 2
Dy2InSn2Rh5 (PBE-GGA, relaxed); energy = -6.254 eV/atom; crystal system = tetragonal; energy of formation from the pure elements = -583 meV/atom; space group = P4/mbm (127); magnetic moment = 0.00 μB per cell; calculated volume = 385 Å³/cell
1.0
-1.677 -3.192 -1.007
3.492 1.147 -9.449
8.366 -5.171 2.463
Dy In Sn Rh
4 2 4 10
Cartesian
3.773 -0.114 -5.919
8.085 -3.909 -1.067
3.350 -1.505 -0.805
8.508 -2.518 -6.181
0.000 0.000 0.000
5.929 -2.012 -3.493
5.696 -3.099 0.340
6.162 -0.925 -7.326
9.490 -3.791 -3.781
2.368 -0.232 -3.205
0.387 -1.685 -2.261
9.795 -5.531 -5.732
6.054 -5.651 0.876
5.277 -3.055 -6.059
4.128 -1.565 -8.869
4.904 -4.161 -1.934
6.998 -4.582 -4.085
3.183 -2.634 -3.908
0.908 -1.022 -5.228
3.345 -4.182 0.728